(1)
First-principles (PBE) data for SrUAu10 after structural relaxation, as listed in Alexandria via LeMat-Bulk.

Cell: 4.7392 5.5958 9.7448 Å, 90.00 90.00 90.00°
Space group Pmmm (No. 47)
Unique sites:
Sr: 0.0000 0.0000 0.0000
U: 0.0000 0.5000 0.5000
Au: 0.0000 0.0000 0.3385
Au: 0.0000 0.5000 0.1721
Au: 0.5000 0.0000 0.5000
Au: 0.5000 0.2527 0.2546
Au: 0.5000 0.5000 0.0000

Calculated values
VASP energy = -48.41 eV/cell
Fermi-level density of states = 9.5 states/eV/cell

(2)
First-principles (PBE) data for Nd3Y4Tm2 after structural relaxation, as listed in Alexandria via LeMat-Bulk.

Cell: 16.6901 11.7169 6.0669 Å, 90.00 97.57 90.00°
Space group C2/c (No. 15)
Unique sites:
Nd: 0.0000 0.1025 0.2500
Nd: 0.1675 0.3902 0.0808
Y: 0.0503 0.3670 0.5192
Y: 0.2147 0.1264 0.3590
Tm: 0.1138 0.1357 0.8164

Calculated values
VASP energy = -192.83 eV/cell
Fermi-level density of states = 56.0 states/eV/cell

(3)
First-principles (PBE) data for Hf2CdCu after structural relaxation, as listed in Alexandria via LeMat-Bulk.

Cell: 3.0342 3.0342 31.5207 Å, 90.00 90.00 120.00°
Space group R-3m (No. 166, hexagonal axes)
Unique sites:
Hf: 0.0000 0.0000 0.0975
Cd: 0.0000 0.0000 0.0000
Cu: 0.0000 0.0000 0.5000

Calculated values
VASP energy = -70.84 eV/cell
Fermi-level density of states = 13.1 states/eV/cell